Density functional theory data (PBE with a Hubbard U) for a geometry-optimized Cs2MnV2Br2O6 structure.

Cell and atoms, written as CIF:
```
data_Cs2MnV2Br2O6
_cell_length_a 5.760
_cell_length_b 17.984
_cell_length_c 6.023
_cell_angle_alpha 90.00
_cell_angle_beta 90.00
_cell_angle_gamma 90.00
_symmetry_space_group_name_H-M 'C m m 2'
_symmetry_Int_Tables_number 35
loop_
_symmetry_equiv_pos_as_xyz
'x,y,z'
'-x,-y,z'
'-x,y,z'
'x,-y,z'
'x+1/2,y+1/2,z'
'-x+1/2,-y+1/2,z'
'-x+1/2,y+1/2,z'
'x+1/2,-y+1/2,z'
loop_
_atom_site_label
_atom_site_fract_x
_atom_site_fract_y
_atom_site_fract_z
Cs1 0.000 0.134 0.000
Mn1 0.000 0.500 0.511
V1 0.000 0.300 0.512
Br1 0.000 0.000 0.527
Br2 0.000 0.500 0.079
O1 0.000 0.297 0.238
O2 0.000 0.390 0.604
O3 0.250 0.250 0.622
```

Output
For the total energy, the calculation gives -6.228 eV per atom.